Entry a
PmSmEr4 | Alexandria via LeMat-Bulk | PBE-GGA | optimized geometry; crystal system = triclinic; Fermi-level density of states = 7.78 states/eV/f.u.; SG = No. 2; theoretical density = 8.446 g/cm³; size of the total moment = 0.000 Bohr magnetons per cell
1.0
3.550 0.000 0.000
-1.761 5.889 0.000
-1.773 -1.607 9.069
Pm Sm Er
1 1 4
direct
0.000 0.000 0.000 Pm
0.500 0.500 0.500 Sm
0.166 0.498 0.834 Er
0.333 0.002 0.666 Er
0.667 0.998 0.334 Er
0.834 0.502 0.166 Er

---

Entry b
PmSmEr4 | Alexandria via LeMat-Bulk | PBE-GGA | optimized geometry; crystal system = cubic; Fermi-level density of states = 16.29 states/eV/f.u.; SG = No. 216; theoretical density = 7.935 g/cm³; size of the total moment = 2.409 Bohr magnetons per cell
1.0
0.000 4.656 4.656
4.656 0.000 4.656
4.656 4.656 0.000
Pm Sm Er
1 1 4
direct
0.000 0.000 0.000 Pm
0.750 0.750 0.750 Sm
0.375 0.375 0.375 Er
0.375 0.375 0.875 Er
0.375 0.875 0.375 Er
0.875 0.375 0.375 Er

---

Which of them is the least stable? Correct choice: entry b.

---

Entry a
Pm2SmEr4 | Alexandria via LeMat-Bulk | PBE-GGA | optimized geometry; crystal system = monoclinic; Fermi-level density of states = 11.97 states/eV/f.u.; SG = No. 15; theoretical density = 7.911 g/cm³; size of the total moment = 0.000 Bohr magnetons per cell
1.0
6.621 -6.099 0.000
6.621 6.099 0.000
-3.357 0.000 5.767
Pm Sm Er
4 2 8
direct
0.000 0.000 0.000 Pm
0.000 0.000 0.500 Pm
0.000 0.500 0.000 Pm
0.500 0.000 0.500 Pm
0.475 0.525 0.250 Sm
0.525 0.475 0.750 Sm
0.132 0.355 0.492 Er
0.261 0.739 0.523 Er
0.261 0.739 0.977 Er
0.355 0.132 0.992 Er
0.645 0.868 0.008 Er
0.739 0.261 0.023 Er
0.739 0.261 0.477 Er
0.868 0.645 0.508 Er

---

Entry b
Pm2SmEr4 | Alexandria via LeMat-Bulk | PBE-GGA | optimized geometry; crystal system = tetragonal; Fermi-level density of states = 12.28 states/eV/f.u.; SG = No. 123; theoretical density = 7.632 g/cm³; size of the total moment = 0.934 Bohr magnetons per cell
1.0
7.692 0.000 0.000
0.000 7.692 0.000
0.000 0.000 8.160
Pm Sm Er
4 2 8
direct
0.000 0.000 0.000 Pm
0.000 0.000 0.500 Pm
0.000 0.500 0.000 Pm
0.500 0.000 0.000 Pm
0.500 0.500 0.000 Sm
0.500 0.500 0.500 Sm
0.250 0.250 0.280 Er
0.250 0.250 0.720 Er
0.250 0.750 0.280 Er
0.250 0.750 0.720 Er
0.750 0.250 0.280 Er
0.750 0.250 0.720 Er
0.750 0.750 0.280 Er
0.750 0.750 0.720 Er

---

Which of them is the least stable? Correct choice: entry b.